(1)
! RbZr2TaO8 | Alexandria | GGA-PBE | optimized geometry; values from VASP
! Fermi-level density of states	0.000	states/eV/atom
! final energy	-8.34	eV per atom
&SYSTEM
  ibrav = 0, nat = 12, ntyp = 4
/
ATOMIC_SPECIES
Rb 85.47 Rb.upf
Zr 91.22 Zr.upf
Ta 180.95 Ta.upf
O 16.00 O.upf
CELL_PARAMETERS angstrom
3.4453 -3.3673 0.0000
3.4453 3.3673 0.0000
-0.6442 0.0000 7.5231
ATOMIC_POSITIONS crystal
Rb 0.0000 0.0000 0.0000
Zr 0.4750 0.4750 0.7106
Zr 0.5250 0.5250 0.2894
Ta 0.0000 0.0000 0.5000
O 0.1667 0.7592 0.3094
O 0.2408 0.8333 0.6906
O 0.2957 0.2957 0.4821
O 0.3912 0.3912 0.9823
O 0.6088 0.6088 0.0177
O 0.7043 0.7043 0.5179
O 0.7592 0.1667 0.3094
O 0.8333 0.2408 0.6906


(2)
! Rb2SrFeBr | Alexandria | GGA-PBE | optimized geometry; values from VASP
! Fermi-level density of states	1.676	states/eV/atom
! final energy	-2.52	eV per atom
&SYSTEM
  ibrav = 0, nat = 5, ntyp = 4
/
ATOMIC_SPECIES
Rb 85.47 Rb.upf
Sr 87.62 Sr.upf
Fe 55.84 Fe.upf
Br 79.90 Br.upf
CELL_PARAMETERS angstrom
6.4609 0.0000 0.0000
0.0000 6.4609 0.0000
0.0000 0.0000 5.8642
ATOMIC_POSITIONS crystal
Rb 0.0000 0.5000 0.0000
Rb 0.5000 0.0000 0.0000
Sr 0.0000 0.0000 0.5000
Fe 0.0000 0.0000 0.0000
Br 0.5000 0.5000 0.5000


(3)
! Y5Ag2Te | Alexandria | GGA-PBE | optimized geometry; values from VASP
! Fermi-level density of states	0.831	states/eV/atom
! final energy	-5.63	eV per atom
&SYSTEM
  ibrav = 0, nat = 16, ntyp = 3
/
ATOMIC_SPECIES
Y 88.91 Y.upf
Ag 107.87 Ag.upf
Te 127.60 Te.upf
CELL_PARAMETERS angstrom
-4.1008 4.1008 6.4760
4.1008 -4.1008 6.4760
4.1008 4.1008 -6.4760
ATOMIC_POSITIONS crystal
Y 0.0000 0.0000 0.0000
Y 0.0084 0.5084 0.8076
Y 0.2008 0.0084 0.5000
Y 0.2992 0.7992 0.8076
Y 0.4916 0.2992 0.5000
Y 0.5000 0.5000 0.0000
Y 0.5084 0.7008 0.5000
Y 0.7008 0.2008 0.1924
Y 0.7992 0.9916 0.5000
Y 0.9916 0.4916 0.1924
Ag 0.1359 0.3641 0.5000
Ag 0.3641 0.8641 0.2283
Ag 0.6359 0.1359 0.7717
Ag 0.8641 0.6359 0.5000
Te 0.2500 0.2500 0.0000
Te 0.7500 0.7500 0.0000


no.,uncorrected formation energy (eV per atom)
1,-2.5380
2,0.2352
3,-0.4807